*A*
{"formula": "KTlRu2", "functional": "PBE", "state": "optimized geometry", "space_group": "Cmmm (65)", "rho_g_cm3": 9.13, "total_magnetization_mub_per_cell": 3.05, "lattice": [[-0.2052, -4.6703, 3.0669], [4.3810, 3.3210, 1.0186], [-1.5131, 1.3818, 2.0029]], "species": ["K", "Tl", "Ru", "Ru"], "frac_coords": [[0.0000, 0.5000, 0.5000], [0.5000, 0.0000, 0.5000], [0.5000, 0.5000, 0.0000], [0.0000, 0.0000, 0.0000]]}



*B*
{"formula": "KTlRu2", "functional": "PBE", "state": "optimized geometry", "space_group": "I4/mmm (139)", "rho_g_cm3": 9.04, "total_magnetization_mub_per_cell": 3.10, "lattice": [[5.4363, -0.0898, 0.0000], [2.1988, 4.9726, 0.0000], [-3.8176, -2.4414, 3.0045]], "species": ["K", "Ru", "Ru", "Tl"], "frac_coords": [[0.7500, 0.2500, 0.5000], [0.0000, 0.0000, 0.0000], [0.5000, 0.5000, 0.0000], [0.2500, 0.7500, 0.5000]]}



*C*
{"formula": "KTlRu2", "functional": "PBE", "state": "optimized geometry", "space_group": "Immm (71)", "rho_g_cm3": 9.16, "total_magnetization_mub_per_cell": 0.00, "lattice": [[5.9954, 0.0040, 0.0038], [3.0092, 5.1856, -0.0038], [-3.7669, -3.8708, 2.6024]], "species": ["Ru", "Ru", "K", "Tl"], "frac_coords": [[0.5271, 0.5271, 0.0000], [0.9729, 0.9729, 0.0000], [0.2500, 0.7500, 0.5000], [0.7500, 0.2500, 0.5000]]}



*D*
{"formula": "KTlRu2", "functional": "PBE", "state": "optimized geometry", "space_group": "Cm (8)", "rho_g_cm3": 7.68, "total_magnetization_mub_per_cell": 0.00, "lattice": [[4.3484, 0.0025, -0.0026], [3.3427, 2.7812, -0.0026], [0.7289, 0.2638, 7.9698]], "species": ["Ru", "Ru", "Tl", "K"], "frac_coords": [[0.9877, 0.9877, 0.0940], [0.2488, 0.2488, 0.1951], [0.5140, 0.5140, 0.4301], [0.7495, 0.7495, 0.7808]]}



Which of them is the most stable, and which is the least stable? *D* and *B*, in that order.



*A*
{"formula": "KTlRu2", "functional": "PBE", "state": "optimized geometry", "space_group": "P4/mmm (123)", "rho_g_cm3": 7.79, "total_magnetization_mub_per_cell": 2.57, "lattice": [[-3.1208, -1.2426, 1.2299], [1.7018, -1.5819, 2.7198], [-0.8318, 6.1372, 4.0900]], "species": ["Ru", "Ru", "K", "Tl"], "frac_coords": [[0.0000, 0.0000, 0.0828], [0.0000, 0.0000, 0.4172], [0.5000, 0.5000, 0.7500], [0.5000, 0.5000, 0.2500]]}



*B*
{"formula": "KTlRu2", "functional": "PBE", "state": "optimized geometry", "space_group": "Cmmm (65)", "rho_g_cm3": 9.22, "total_magnetization_mub_per_cell": 1.15, "lattice": [[-2.6938, 0.5575, -1.0845], [2.1034, -0.5056, -2.0159], [-2.1553, -9.9395, 0.2438]], "species": ["Ru", "Ru", "K", "Tl"], "frac_coords": [[0.0000, 0.0000, 0.4723], [0.0000, 0.0000, 0.0277], [0.5000, 0.5000, 0.7500], [0.5000, 0.5000, 0.2500]]}



*C*
{"formula": "KTlRu2", "functional": "PBE", "state": "optimized geometry", "space_group": "P4/mmm (123)", "rho_g_cm3": 8.76, "total_magnetization_mub_per_cell": 3.01, "lattice": [[-2.7199, -1.0477, -0.5321], [1.1602, -2.1813, -1.6354], [0.6057, -5.5517, 7.8346]], "species": ["K", "Ru", "Ru", "Tl"], "frac_coords": [[0.5000, 0.5000, 0.7500], [0.0000, 0.0000, 0.4622], [0.0000, 0.0000, 0.0378], [0.5000, 0.5000, 0.2500]]}



Which of them is the most stable, and which is the least stable? *A* and *C*, in that order.



*A*
{"formula": "KTlRu2", "functional": "PBE", "state": "optimized geometry", "space_group": "P2/m (10)", "rho_g_cm3": 7.78, "total_magnetization_mub_per_cell": 2.02, "lattice": [[5.0000, 0.0000, 0.0000], [0.0000, 2.8999, -0.0046], [0.0000, 0.7204, 6.5593]], "species": ["Ru", "Ru", "K", "Tl"], "frac_coords": [[0.0000, 0.0205, 0.0911], [0.0000, 0.4795, 0.4089], [0.5000, 0.7500, 0.7500], [0.5000, 0.2500, 0.2500]]}



*B*
{"formula": "KTlRu2", "functional": "PBE", "state": "optimized geometry", "space_group": "Fm-3m (225)", "rho_g_cm3": 9.30, "total_magnetization_mub_per_cell": 2.79, "lattice": [[0.0000, 3.4142, 3.4142], [3.4142, 0.0000, 3.4142], [3.4142, 3.4142, 0.0000]], "species": ["Ru", "Ru", "Tl", "K"], "frac_coords": [[0.7500, 0.7500, 0.7500], [0.2500, 0.2500, 0.2500], [0.5000, 0.5000, 0.5000], [0.0000, 0.0000, 0.0000]]}



Which of them is the most stable, and which is the least stable? *A* and *B*, in that order.



*A*
{"formula": "KTlRu3", "functional": "PBE", "state": "optimized geometry", "space_group": "Pm-3m (221)", "rho_g_cm3": 8.22, "total_magnetization_mub_per_cell": 5.84, "lattice": [[4.7970, 0.0000, 0.0000], [0.0000, 4.7970, 0.0000], [0.0000, 0.0000, 4.7970]], "species": ["Tl", "Ru", "Ru", "Ru", "K"], "frac_coords": [[0.5000, 0.5000, 0.5000], [0.0000, 0.5000, 0.0000], [0.0000, 0.0000, 0.5000], [0.5000, 0.0000, 0.0000], [0.0000, 0.0000, 0.0000]]}



*B*
{"formula": "KTlRu3", "functional": "PBE", "state": "optimized geometry", "space_group": "Pm-3m (221)", "rho_g_cm3": 6.65, "total_magnetization_mub_per_cell": 5.75, "lattice": [[5.1483, 0.0000, 0.0000], [0.0000, 5.1483, 0.0000], [0.0000, 0.0000, 5.1483]], "species": ["K", "Ru", "Ru", "Ru", "Tl"], "frac_coords": [[0.5000, 0.5000, 0.5000], [0.5000, 0.0000, 0.0000], [0.0000, 0.5000, 0.0000], [0.0000, 0.0000, 0.5000], [0.0000, 0.0000, 0.0000]]}



Which of them is the most stable, and which is the least stable? *B* and *A*, in that order.



*A*
{"formula": "KVRu3", "functional": "PBE", "state": "optimized geometry", "space_group": "Pm-3m (221)", "rho_g_cm3": 6.55, "total_magnetization_mub_per_cell": 2.74, "lattice": [[-1.4795, -3.7790, 2.2406], [-0.1739, -2.3120, -4.0143], [4.3899, -1.3652, 0.5961]], "species": ["V", "Ru", "Ru", "Ru", "K"], "frac_coords": [[0.0000, 0.0000, 0.0000], [0.5000, 0.0000, 0.0000], [0.0000, 0.0000, 0.5000], [0.0000, 0.5000, 0.0000], [0.5000, 0.5000, 0.5000]]}



*B*
{"formula": "KVRu3", "functional": "PBE", "state": "optimized geometry", "space_group": "Pm-3m (221)", "rho_g_cm3": 6.86, "total_magnetization_mub_per_cell": 1.43, "lattice": [[4.5662, 0.0000, 0.0000], [0.0000, 4.5662, 0.0000], [0.0000, 0.0000, 4.5662]], "species": ["Ru", "Ru", "Ru", "K", "V"], "frac_coords": [[0.5000, 0.0000, 0.0000], [0.0000, 0.0000, 0.5000], [0.0000, 0.5000, 0.0000], [0.0000, 0.0000, 0.0000], [0.5000, 0.5000, 0.5000]]}



Which of them is the most stable, and which is the least stable? *A* and *B*, in that order.



*A*
{"formula": "K2RuW", "functional": "PBE", "state": "optimized geometry", "space_group": "F-43m (216)", "rho_g_cm3": 7.11, "total_magnetization_mub_per_cell": 0.00, "lattice": [[-1.8940, -1.6524, -4.2440], [4.5494, -0.4952, -1.8403], [-1.1931, -2.1930, 4.2540]], "species": ["W", "K", "K", "Ru"], "frac_coords": [[0.7500, 0.2500, 0.5000], [0.0000, 0.0000, 0.0000], [0.2500, 0.7500, 0.5000], [0.5000, 0.5000, 0.0000]]}



*B*
{"formula": "K2RuW", "functional": "PBE", "state": "optimized geometry", "space_group": "Pmmm (47)", "rho_g_cm3": 7.06, "total_magnetization_mub_per_cell": 0.00, "lattice": [[2.7041, 0.0000, 0.0000], [0.0000, 5.9156, 0.0000], [0.0000, 0.0000, 5.3375]], "species": ["W", "Ru", "K", "K"], "frac_coords": [[0.5000, 0.5000, 0.7500], [0.5000, 0.5000, 0.2500], [0.0000, 0.0000, 0.4982], [0.0000, 0.0000, 0.0018]]}



Which of them is the most stable, and which is the least stable? *B* and *A*, in that order.



*A*
{"formula": "K2RuW", "functional": "PBE", "state": "optimized geometry", "space_group": "C2/m (12)", "rho_g_cm3": 7.18, "total_magnetization_mub_per_cell": 0.00, "lattice": [[6.5915, -0.0014, 0.0217], [-1.9020, 4.8664, -0.0494], [0.3839, 0.6311, 2.6152]], "species": ["K", "K", "W", "Ru"], "frac_coords": [[0.0000, 0.5000, 0.5000], [0.0000, 0.0000, 0.0000], [0.5000, 0.0000, 0.5000], [0.5000, 0.5000, 0.0000]]}



*B*
{"formula": "K2RuW", "functional": "PBE", "state": "optimized geometry", "space_group": "Cmmm (65)", "rho_g_cm3": 7.05, "total_magnetization_mub_per_cell": 0.00, "lattice": [[-4.7167, -4.0632, -1.7995], [6.1116, -1.1034, 1.8508], [-0.8152, -0.1945, 2.5759]], "species": ["K", "K", "W", "Ru"], "frac_coords": [[0.5000, 0.5000, 0.0000], [0.0000, 0.0000, 0.0000], [0.0000, 0.5000, 0.5000], [0.5000, 0.0000, 0.5000]]}



*C*
{"formula": "K2RuW", "functional": "PBE", "state": "optimized geometry", "space_group": "Pm (6)", "rho_g_cm3": 4.93, "total_magnetization_mub_per_cell": 0.00, "lattice": [[-3.6153, 0.9052, 0.3910], [-0.7105, -2.9949, 0.3635], [0.6506, -2.0461, 10.7520]], "species": ["Ru", "K", "K", "W"], "frac_coords": [[0.0000, 0.4102, 0.5874], [0.0000, 0.0806, 0.9193], [0.5000, 0.1713, 0.3340], [0.5000, 0.8379, 0.6593]]}



Which of them is the most stable, and which is the least stable? *C* and *B*, in that order.



*A*
{"formula": "KRuW2", "functional": "PBE", "state": "optimized geometry", "space_group": "I-42d (122)", "rho_g_cm3": 7.63, "total_magnetization_mub_per_cell": 0.00, "lattice": [[5.0757, 0.0000, 0.0000], [0.0000, 5.0757, 0.0000], [2.5378, 2.5378, 8.5848]], "species": ["Ru", "Ru", "W", "W", "W", "W", "K", "K"], "frac_coords": [[0.0000, 0.0000, 0.0000], [0.7500, 0.2500, 0.5000], [0.8750, 0.1157, 0.7500], [0.3750, 0.1343, 0.7500], [0.8843, 0.6250, 0.2500], [0.8657, 0.1250, 0.2500], [0.2500, 0.7500, 0.5000], [0.5000, 0.5000, 0.0000]]}



*B*
{"formula": "KRuW2", "functional": "PBE", "state": "optimized geometry", "space_group": "Fm-3m (225)", "rho_g_cm3": 12.46, "total_magnetization_mub_per_cell": 0.00, "lattice": [[0.0000, 3.2342, 3.2342], [3.2342, 0.0000, 3.2342], [3.2342, 3.2342, 0.0000]], "species": ["W", "W", "K", "Ru"], "frac_coords": [[0.7500, 0.7500, 0.7500], [0.2500, 0.2500, 0.2500], [0.0000, 0.0000, 0.0000], [0.5000, 0.5000, 0.5000]]}



Which of them is the most stable, and which is the least stable? *B* and *A*, in that order.